1) Computed, not measured: crystalline NiOs3I at its relaxed geometry at the PBE level of DFT.

The structure belongs to space group Pm-3m (No. 221); the cell edges are 4.5141, 4.5141 and 4.5141 Å and the angles 90.00°, 90.00° and 90.00°. The inequivalent atoms are Ni at (0.0000, 0.0000, 0.0000), Os at (0.0000, 0.0000, 0.5000) and I at (0.5000, 0.5000, 0.5000).

The calculation puts the volume at 91.98 Å³/cell. The total magnetization is 0.00 μB/cell.

---

2) Computed, not measured: crystalline NiOs3I at its relaxed geometry at the PBE level of DFT.

The structure belongs to space group Pm-3m (No. 221); the cell edges are 4.7795, 4.7795 and 4.7795 Å and the angles 90.00°, 90.00° and 90.00°. The inequivalent atoms are Ni at (0.0000, 0.0000, 0.0000), Os at (0.0000, 0.5000, 0.5000) and I at (0.5000, 0.5000, 0.5000).

The calculation puts the volume at 109.18 Å³/cell. The total magnetization is 3.00 μB/cell.

---

Short version: 1) is the most stable of them.

---

1) Computed, not measured: crystalline NiOsI2 at its relaxed geometry at the PBE level of DFT.

The structure belongs to space group I-42d (No. 122); the cell edges are 5.9540, 5.9540 and 11.3619 Å and the angles 90.00°, 90.00° and 90.00°. The inequivalent atoms are Ni at (0.0000, 0.0000, 0.0000), Os at (0.0000, 0.0000, 0.5000) and I at (0.2381, 0.2500, 0.1250).

The calculation puts the volume at 402.77 Å³/cell. The total magnetization is 0.00 μB/cell.

---

2) Computed, not measured: crystalline NiOsI2 at its relaxed geometry at the PBE level of DFT.

The structure belongs to space group Fm-3m (No. 225); the cell edges are 6.7399, 6.7399 and 6.7399 Å and the angles 90.00°, 90.00° and 90.00°. The inequivalent atoms are Ni at (0.0000, 0.0000, 0.0000), Os at (0.0000, 0.0000, 0.5000) and I at (0.2500, 0.2500, 0.2500).

The calculation puts the volume at 306.17 Å³/cell. The total magnetization is 0.00 μB/cell.

---

Short version: 1) is the most stable of them.

---

1) Computed, not measured: crystalline NiTe2OsI at its relaxed geometry at the PBE level of DFT.

The structure belongs to space group P4/mmm (No. 123); the cell edges are 5.1128, 5.1128 and 5.7198 Å and the angles 90.00°, 90.00° and 90.00°. The inequivalent atoms are Ni at (0.0000, 0.0000, 0.0000), Te at (0.0000, 0.5000, 0.5000), Os at (0.5000, 0.5000, 0.5000) and I at (0.5000, 0.5000, 0.0000).

The calculation puts the volume at 149.52 Å³/cell. The total magnetization is 1.03 μB/cell.

---

2) Computed, not measured: crystalline NiTe2OsI at its relaxed geometry at the PBE level of DFT.

The structure belongs to space group P4/mmm (No. 123); the cell edges are 4.8911, 4.8911 and 5.0000 Å and the angles 90.00°, 90.00° and 90.00°. The inequivalent atoms are Ni at (0.0000, 0.0000, 0.0000), Te at (0.0000, 0.5000, 0.0000), Os at (0.5000, 0.5000, 0.5000) and I at (0.0000, 0.0000, 0.5000).

The calculation puts the volume at 119.62 Å³/cell. The total magnetization is 0.32 μB/cell.

---

Short version: 1) is the most stable of them.

---

1) Computed, not measured: crystalline NiTeOsI2 at its relaxed geometry at the PBE level of DFT.

The structure belongs to space group P4/mmm (No. 123); the cell edges are 5.1027, 5.1027 and 5.1742 Å and the angles 90.00°, 90.00° and 90.00°. The inequivalent atoms are Ni at (0.0000, 0.0000, 0.0000), Te at (0.0000, 0.0000, 0.5000), Os at (0.5000, 0.5000, 0.5000) and I at (0.0000, 0.5000, 0.0000).

The calculation puts the volume at 134.72 Å³/cell. The total magnetization is 3.81 μB/cell.

---

2) Computed, not measured: crystalline NiTeOsI2 at its relaxed geometry at the PBE level of DFT.

The structure belongs to space group P4/mmm (No. 123); the cell edges are 5.6152, 5.6152 and 4.9510 Å and the angles 90.00°, 90.00° and 90.00°. The inequivalent atoms are Ni at (0.0000, 0.0000, 0.0000), Te at (0.5000, 0.5000, 0.0000), Os at (0.5000, 0.5000, 0.5000) and I at (0.0000, 0.5000, 0.5000).

The calculation puts the volume at 156.11 Å³/cell. The total magnetization is 1.02 μB/cell.

---

Short version: 2) is the most stable of them.